Record 1
{
  "formula": "Cd2RhBr",
  "functional": "GGA-PBE",
  "state": "relaxed",
  "cell": [[-3.662, -1.128, 3.247], [2.680, -4.162, -0.846], [2.029, 0.786, 2.561]],
  "species": ["Rh", "Br", "Cd", "Cd"],
  "fractional_positions": [[0.500, 0.000, 0.500], [0.000, 0.500, 0.500], [0.000, 0.000, 0.000], [0.500, 0.500, 0.000]]
}



Record 2
{
  "formula": "CdRh2Br",
  "functional": "GGA-PBE",
  "state": "relaxed",
  "cell": [[-3.453, 1.944, 3.572], [-5.067, -1.619, -0.414], [4.808, -2.310, 0.119]],
  "species": ["Rh", "Rh", "Br", "Cd"],
  "fractional_positions": [[0.000, 0.000, 0.000], [0.250, 0.750, 0.500], [0.500, 0.500, 0.000], [0.750, 0.250, 0.500]]
}



Record 3
{
  "formula": "CdRhBr2",
  "functional": "GGA-PBE",
  "state": "relaxed",
  "cell": [[4.993, 0.000, 0.000], [2.496, 4.324, 0.000], [2.496, 1.441, 4.077]],
  "species": ["Rh", "Br", "Br", "Cd"],
  "fractional_positions": [[0.750, 0.750, 0.750], [0.000, 0.000, 0.000], [0.250, 0.250, 0.250], [0.500, 0.500, 0.500]]
}



Record 4
{
  "formula": "Cd2RhBr",
  "functional": "GGA-PBE",
  "state": "relaxed",
  "cell": [[5.490, 0.019, 0.000], [2.364, 4.955, 0.000], [-3.927, -2.487, 2.921]],
  "species": ["Rh", "Br", "Cd", "Cd"],
  "fractional_positions": [[0.750, 0.250, 0.500], [0.250, 0.750, 0.500], [0.000, 0.000, 0.000], [0.500, 0.500, 0.000]]
}



Taking the records one at a time from the top gives distance to the lowest polymorph of the same formula values of 5.740, 8.609, 17.196, 9.278 kcal/mol of atoms.
Taking the records one at a time from the top gives total DFT energy (no corrections) values of -10.6, -15.3, -9.6, -9.9 eV per cell.
Taking the records one at a time from the top gives formation energy from raw total energies values of 0.075, 0.504, 0.514, 0.229 eV per atom.